# 1
## CeAlZn2 (GGA-PBE)

Data for a relaxed structure of CeAlZn2.

a = 4.7789 Å, b = 4.7789 Å, c = 4.7789 Å
α = 60.00°, β = 60.00°, γ = 60.00°
Last column: nearest neighbours and their distance in Å.
Fractional coordinates of all 4 atoms:
Zn  0.2500  0.2500  0.2500  4 Ce 2.93, 4 Al 2.93
Zn  0.7500  0.7500  0.7500  4 Al 2.93, 4 Ce 2.93
Al  0.5000  0.5000  0.5000  8 Zn 2.93
Ce  0.0000  0.0000  0.0000  8 Zn 2.93

Its formation energy is -0.2920 eV per atom. Its space group is Fm-3m (225).


# 2
## CeAl3Zn (GGA-PBE)

Data for a relaxed structure of CeAl3Zn.

a = 4.2373 Å, b = 4.2373 Å, c = 6.2499 Å
α = 109.80°, β = 109.80°, γ = 89.99°
Last column: nearest neighbours and their distance in Å.
Fractional coordinates of all 5 atoms:
Ce  0.4001  0.4001  0.8003  12 Al 3.22-3.49, 4 Zn 3.25
Al  0.6522  0.1527  0.3049  2 Zn 2.57, 2 Al 2.65
Al  0.1527  0.6522  0.3049  2 Zn 2.57, 2 Al 2.65
Al  0.0073  0.0073  0.0148  1 Zn 2.45, 4 Al 2.65
Zn  0.7846  0.7846  0.5689  5 Al 2.45-2.57

Its formation energy is -0.3571 eV per atom. Its space group is I4mm (107).


# 3
## Ce2AlZn3 (GGA-PBE)

Data for a relaxed structure of Ce2AlZn3.

a = 5.7289 Å, b = 5.7289 Å, c = 8.3817 Å
α = 90.00°, β = 90.00°, γ = 120.00°
Last column: nearest neighbours and their distance in Å.
Fractional coordinates of all 12 atoms:
Ce  0.6667  0.3333  0.4167  1 Ce 2.79
Ce  0.3333  0.6667  0.5833  1 Ce 2.79
Ce  0.3333  0.6667  0.9167  1 Ce 2.79
Ce  0.6667  0.3333  0.0833  1 Ce 2.79
Al  0.0000  0.0000  0.5000  6 Zn 2.71
Al  0.0000  0.0000  0.0000  6 Zn 2.71
Zn  0.1724  0.3449  0.2500  2 Al 2.71, 4 Zn 2.77-2.96
Zn  0.3449  0.1724  0.7500  2 Al 2.71, 4 Zn 2.77-2.96
Zn  0.8276  0.6551  0.7500  2 Al 2.71, 4 Zn 2.77-2.96
Zn  0.1724  0.8276  0.2500  2 Al 2.71, 4 Zn 2.77-2.96
Zn  0.8276  0.1724  0.7500  2 Al 2.71, 4 Zn 2.77-2.96
Zn  0.6551  0.8276  0.2500  2 Al 2.71, 4 Zn 2.77-2.96

Its formation energy is -0.3244 eV per atom. Its space group is P6_3/mmc (194).


# 4
## Ce2Al3Zn5 (GGA-PBE)

Data for a relaxed structure of Ce2Al3Zn5.

a = 6.0364 Å, b = 8.5638 Å, c = 8.5638 Å
α = 76.09°, β = 69.36°, γ = 69.36°
Last column: nearest neighbours and their distance in Å.
Fractional coordinates of all 20 atoms:
Ce  0.1244  0.6207  0.1305  10 Zn 3.23-3.41, 6 Al 3.26-3.43
Ce  0.6244  0.1305  0.6207  10 Zn 3.23-3.41, 6 Al 3.26-3.43
Ce  0.8756  0.3793  0.8695  10 Zn 3.23-3.41, 6 Al 3.26-3.43
Ce  0.3756  0.8695  0.3793  10 Zn 3.23-3.41, 6 Al 3.26-3.43
Al  0.3710  0.4993  0.7587  5 Zn 2.45-2.57
Al  0.8710  0.7587  0.4993  5 Zn 2.45-2.57
Al  0.6290  0.5007  0.2413  5 Zn 2.45-2.57
Al  0.1290  0.2413  0.5007  5 Zn 2.45-2.57
Al  0.2500  0.0000  0.0000  4 Zn 2.57
Al  0.7500  0.0000  0.0000  4 Zn 2.57
Zn  0.3765  0.2615  0.9855  3 Al 2.45-2.57, 2 Zn 2.53
Zn  0.8765  0.9855  0.2615  3 Al 2.45-2.57, 2 Zn 2.53
Zn  0.6235  0.7385  0.0145  3 Al 2.45-2.57, 2 Zn 2.53
Zn  0.1235  0.0145  0.7385  3 Al 2.45-2.57, 2 Zn 2.53
Zn  0.4911  0.7589  0.7589  2 Zn 2.53, 2 Al 2.57
Zn  0.5089  0.2411  0.2411  2 Zn 2.53, 2 Al 2.57
Zn  0.7500  0.5000  0.5000  4 Al 2.56
Zn  0.2500  0.5000  0.5000  4 Al 2.56
Zn  0.0089  0.2411  0.2411  2 Zn 2.53, 2 Al 2.57
Zn  0.9911  0.7589  0.7589  2 Zn 2.53, 2 Al 2.57

Its formation energy is -0.3347 eV per atom. As for the excess energy over the best structure of this formula in the dataset: 0 meV per atom. Its space group is Ibam (72).


# 5
## CeAl2Zn (GGA-PBE)

Data for a relaxed structure of CeAl2Zn.

a = 3.3130 Å, b = 3.3130 Å, c = 7.2399 Å
α = 90.00°, β = 90.00°, γ = 90.00°
Last column: nearest neighbours and their distance in Å.
Fractional coordinates of all 4 atoms:
Zn  0.5000  0.5000  0.0000  8 Al 2.74
Al  0.0000  0.0000  0.8034  4 Zn 2.74, 1 Al 2.85
Al  0.0000  0.0000  0.1966  4 Zn 2.74, 1 Al 2.85
Ce  0.5000  0.5000  0.5000  8 Al 3.21, 4 Ce 3.31

Its formation energy is -0.1634 eV per atom. Its space group is P4/mmm (123).


# 6
## CeAlZn2 (GGA-PBE)

Data for a relaxed structure of CeAlZn2.

a = 2.8819 Å, b = 5.6384 Å, c = 5.6384 Å
α = 119.48°, β = 90.00°, γ = 90.00°
Last column: nearest neighbours and their distance in Å.
Fractional coordinates of all 4 atoms:
Ce  0.0000  0.0538  0.9462  2 Ce 2.88, 8 Zn 3.17, 4 Al 3.19
Al  0.5000  0.5538  0.4462  4 Zn 2.82, 2 Al 2.88
Zn  0.5000  0.0537  0.4462  2 Al 2.82, 4 Zn 2.84-2.88
Zn  0.5000  0.5538  0.9463  2 Al 2.82, 4 Zn 2.84-2.88

Its formation energy is -0.1167 eV per atom. Its space group is Cmmm (65).


# 7
## Ce2Al3Zn2 (GGA-PBE)

Data for a relaxed structure of Ce2Al3Zn2.

a = 4.4928 Å, b = 7.0007 Å, c = 9.7888 Å
α = 90.00°, β = 103.27°, γ = 90.00°
Last column: nearest neighbours and their distance in Å.
Fractional coordinates of all 14 atoms:
Ce  0.1604  0.2500  0.3209  6 Zn 3.18-3.22, 6 Al 3.18-3.19
Ce  0.8396  0.7500  0.6791  6 Zn 3.18-3.22, 6 Al 3.18-3.19
Ce  0.9539  0.2500  0.9078  9 Al 3.18-3.34
Ce  0.0461  0.7500  0.0922  9 Al 3.18-3.34
Al  0.2213  0.7500  0.4427  6 Zn 2.69-2.83
Al  0.7787  0.2500  0.5573  6 Zn 2.69-2.83
Al  0.5616  0.4313  0.1231  1 Zn 2.53, 2 Al 2.54
Al  0.4384  0.5687  0.8769  1 Zn 2.53, 2 Al 2.54
Al  0.4384  0.9313  0.8769  1 Zn 2.53, 2 Al 2.54
Al  0.5616  0.0687  0.1231  1 Zn 2.53, 2 Al 2.54
Zn  0.6852  0.9361  0.3703  4 Al 2.53-2.83, 1 Zn 2.61
Zn  0.3148  0.0639  0.6297  4 Al 2.53-2.83, 1 Zn 2.61
Zn  0.3148  0.4361  0.6297  4 Al 2.53-2.83, 1 Zn 2.61
Zn  0.6852  0.5639  0.3703  4 Al 2.53-2.83, 1 Zn 2.61

Its formation energy is -0.3263 eV per atom. Its space group is Cmcm (63).


# 8
## CeAl4Zn12 (GGA-PBE)

Data for a relaxed structure of CeAl4Zn12.

a = 7.6225 Å, b = 7.6225 Å, c = 7.6225 Å
α = 109.47°, β = 109.47°, γ = 109.47°
Last column: nearest neighbours and their distance in Å.
Fractional coordinates of all 17 atoms:
Ce  0.0000  0.0000  0.0000  12 Zn 3.39
Al  0.0000  0.5000  0.0000  6 Zn 2.55
Al  0.5000  0.0000  0.0000  6 Zn 2.55
Al  0.5000  0.5000  0.5000  6 Zn 2.55
Al  0.0000  0.0000  0.5000  6 Zn 2.55
Zn  0.8521  0.3555  0.2076  2 Zn 2.54-2.60, 2 Al 2.55
Zn  0.3555  0.5034  0.1479  2 Zn 2.54-2.60, 2 Al 2.55
Zn  0.7924  0.1479  0.6445  2 Zn 2.54-2.60, 2 Al 2.55
Zn  0.3555  0.2076  0.8521  2 Zn 2.54-2.60, 2 Al 2.55
Zn  0.2076  0.8521  0.3555  2 Zn 2.54-2.60, 2 Al 2.55
Zn  0.6445  0.4966  0.8521  2 Zn 2.54-2.60, 2 Al 2.55
Zn  0.5034  0.1479  0.3555  2 Zn 2.54-2.60, 2 Al 2.55
Zn  0.4966  0.8521  0.6445  2 Zn 2.54-2.60, 2 Al 2.55
Zn  0.6445  0.7924  0.1479  2 Zn 2.54-2.60, 2 Al 2.55
Zn  0.8521  0.6445  0.4966  2 Zn 2.54-2.60, 2 Al 2.55
Zn  0.1479  0.3555  0.5034  2 Zn 2.54-2.60, 2 Al 2.55
Zn  0.1479  0.6445  0.7924  2 Zn 2.54-2.60, 2 Al 2.55

Its formation energy is 0.2261 eV per atom. Its space group is Im-3 (204).


# 9
## CeAl2Zn (GGA-PBE)

Data for a relaxed structure of CeAl2Zn.

a = 4.5683 Å, b = 5.7529 Å, c = 6.6900 Å
α = 90.00°, β = 90.00°, γ = 113.39°
Last column: nearest neighbours and their distance in Å.
Fractional coordinates of all 8 atoms:
Ce  0.7633  0.5267  0.5000  4 Zn 3.08, 9 Al 3.08-3.44
Ce  0.5616  0.1233  0.0000  7 Al 3.06-3.14, 2 Zn 3.20
Al  0.0531  0.1063  0.6960  1 Zn 2.55, 3 Al 2.62-2.77
Al  0.0531  0.1063  0.3040  1 Zn 2.55, 3 Al 2.62-2.77
Al  0.8573  0.7146  0.0000  4 Zn 2.73, 2 Al 2.90
Al  0.4712  0.9425  0.5000  4 Al 2.77, 2 Zn 2.85, 1 Ce 3.08
Zn  0.2845  0.5689  0.8078  4 Al 2.55-2.85, 1 Zn 2.57
Zn  0.2845  0.5689  0.1922  4 Al 2.55-2.85, 1 Zn 2.57

Its formation energy is -0.3230 eV per atom. Its space group is Amm2 (38).


# 10
## CeAl2Zn (GGA-PBE)

Data for a relaxed structure of CeAl2Zn.

a = 4.3222 Å, b = 4.3480 Å, c = 4.3480 Å
α = 90.00°, β = 90.00°, γ = 90.00°
Last column: nearest neighbours and their distance in Å.
Fractional coordinates of all 4 atoms:
Zn  0.5000  0.0000  0.0000  8 Al 3.07, 4 Ce 3.07
Al  0.0000  0.0000  0.5000  4 Ce 3.07, 4 Zn 3.07, 4 Al 3.07
Al  0.0000  0.5000  0.0000  4 Ce 3.07, 4 Zn 3.07, 4 Al 3.07
Ce  0.5000  0.5000  0.5000  8 Al 3.07, 4 Zn 3.07

Its formation energy is -0.2542 eV per atom. Its space group is P4/mmm (123).


# 11
## CeAl2Zn (GGA-PBE)

Data for a relaxed structure of CeAl2Zn.

a = 4.2875 Å, b = 4.2875 Å, c = 5.8737 Å
α = 68.59°, β = 68.59°, γ = 60.00°
Last column: nearest neighbours and their distance in Å.
Fractional coordinates of all 4 atoms:
Zn  0.0000  0.0000  0.0000  6 Al 2.58
Al  0.2874  0.2874  0.1379  3 Zn 2.58, 3 Al 2.88
Al  0.7126  0.7126  0.8621  3 Zn 2.58, 3 Al 2.88
Ce  0.5000  0.5000  0.5000  8 Al 3.14-3.40

Its formation energy is -0.2438 eV per atom. Its space group is R-3m (166).


# 12
## Ce2AlZn9 (GGA-PBE)

Data for a relaxed structure of Ce2AlZn9.

a = 5.5028 Å, b = 5.5028 Å, c = 9.0488 Å
α = 72.30°, β = 72.30°, γ = 60.00°
Last column: nearest neighbours and their distance in Å.
Fractional coordinates of all 12 atoms:
Ce  0.8558  0.8558  0.4326  12 Zn 3.16-3.23, 3 Ce 3.38
Ce  0.1442  0.1442  0.5674  12 Zn 3.16-3.23, 3 Ce 3.38
Al  0.0000  0.0000  0.0000  18 Zn 3.18-3.44
Zn  0.6653  0.6653  0.0042  6 Zn 2.59-2.62
Zn  0.3347  0.3347  0.9958  6 Zn 2.59-2.62
Zn  0.5000  0.5000  0.5000  6 Zn 2.71
Zn  0.4170  0.4170  0.2432  7 Zn 2.59-2.78
Zn  0.9229  0.4170  0.2432  7 Zn 2.59-2.78
Zn  0.4170  0.9229  0.2432  7 Zn 2.59-2.78
Zn  0.5830  0.5830  0.7568  7 Zn 2.59-2.78
Zn  0.5830  0.0771  0.7568  7 Zn 2.59-2.78
Zn  0.0771  0.5830  0.7568  7 Zn 2.59-2.78

Its formation energy is -0.0563 eV per atom. Its space group is R-3m (166).